[1]
Here is an optimized crystal structure of HgSbIrF2 from the Alexandria database. Energies are from PBE-GGA.

a b c (Å): 4.2175 5.2840 4.2175
angles (deg): 90.00 90.00 90.00
Sites, in units of the cell vectors:
Sb (0.0000, 0.0000, 0.0000)
F (0.5000, 0.0000, 0.0000)
F (0.0000, 0.0000, 0.5000)
Hg (0.5000, 0.5000, 0.5000)
Ir (0.0000, 0.5000, 0.0000)

Energy: -4.2202 eV per atom
Formation energy (no corrections): -0.81 eV/atom
Space-group type: P4/mmm
Magnetization: 0.00 μB/f.u.

---

[2]
Here is an optimized crystal structure of Zr2TeCl from the Alexandria database. Energies are from PBE-GGA.

a b c (Å): 3.4159 3.4159 9.0759
angles (deg): 90.00 90.00 120.32
Sites, in units of the cell vectors:
Cl (0.5000, 0.5000, 0.2500)
Zr (0.0000, 0.0000, 0.4945)
Zr (0.0000, 0.0000, 0.0055)
Te (0.5000, 0.5000, 0.7500)

Energy: -5.9193 eV per atom
Formation energy (no corrections): -0.40 eV/atom
Space-group type: Cmmm
Magnetization: 0.00 μB/f.u.
Relative energy among the computed polymorphs: 44.8 kJ per mole of atoms

---

[3]
Here is an optimized crystal structure of SmSbSeO2 from the Alexandria database. Energies are from PBE-GGA.

a b c (Å): 4.0528 6.6013 7.6738
angles (deg): 105.21 90.00 90.00
Sites, in units of the cell vectors:
O (0.7500, 0.5141, 0.3943)
O (0.2500, 0.4859, 0.6057)
O (0.2500, 0.4833, 0.1432)
O (0.7500, 0.5167, 0.8568)
Se (0.2500, 0.0682, 0.7919)
Se (0.7500, 0.9318, 0.2081)
Sb (0.7500, 0.3260, 0.5916)
Sb (0.2500, 0.6740, 0.4084)
Sm (0.2500, 0.6974, 0.9261)
Sm (0.7500, 0.3026, 0.0739)

Energy: -6.4204 eV per atom
Formation energy (no corrections): -1.97 eV/atom
Space-group type: P2_1/m
Magnetization: 0.00 μB/f.u.

---

[4]
Here is an optimized crystal structure of TlAs2Pb2 from the Alexandria database. Energies are from PBE-GGA.

a b c (Å): 4.3317 5.8920 8.0952
angles (deg): 111.34 105.52 90.00
Sites, in units of the cell vectors:
Pb (0.2909, 0.2909, 0.5818)
Pb (0.7091, 0.7091, 0.4182)
As (0.6591, 0.1591, 0.3183)
As (0.3409, 0.8409, 0.6817)
Tl (0.0000, 0.0000, 0.0000)

Formation enthalpy at 0 K: 0.072 eV/atom
Energy: -3.7446 eV per atom
Space-group type: Immm
Magnetization: 0.00 μB/f.u.
Relative energy among the computed polymorphs: 1.1 kJ per mole of atoms

---

[5]
Here is an optimized crystal structure of PaMnCuH6 from the Alexandria database. Energies are from PBE-GGA.

a b c (Å): 4.3790 4.3790 4.1832
angles (deg): 90.00 90.00 60.00
Each line ends with the local moment (μB).
Sites, in units of the cell vectors:
Cu (0.6666, 0.6667, 0.5000)  0.01
Mn (0.3333, 0.3333, 0.5000)  1.10
H (0.4912, 0.4912, 0.2260)  -0.01
H (0.4912, 0.0175, 0.7740)  -0.01
H (0.4912, 0.0175, 0.2260)  -0.01
H (0.4912, 0.4913, 0.7739)  -0.01
H (0.0175, 0.4913, 0.2260)  -0.01
H (0.0175, 0.4912, 0.7740)  -0.01
Pa (0.0000, 0.0000, 0.0000)  -0.67

Energy: -4.9326 eV per atom
Space-group type: P-6m2
Magnetization: 0.30 μB/f.u.

---

[6]
Here is an optimized crystal structure of Re2TcBr from the Alexandria database. Energies are from PBE-GGA.

a b c (Å): 5.1075 5.1075 5.1075
angles (deg): 136.05 136.05 63.90
Sites, in units of the cell vectors:
Re (0.0000, 0.0000, 0.0000)
Re (0.5000, 0.5000, 0.0000)
Br (0.7500, 0.2500, 0.5000)
Tc (0.2500, 0.7500, 0.5000)

Energy: -7.9164 eV per atom
Formation energy (no corrections): 1.32 eV/atom
Space-group type: I4/mmm
Magnetization: 0.00 μB/f.u.
Relative energy among the computed polymorphs: 72.5 kJ per mole of atoms

---

[7]
Here is an optimized crystal structure of Pm3Ga2Ge2 from the Alexandria database. Energies are from PBE-GGA.

a b c (Å): 4.0899 4.3956 9.7698
angles (deg): 103.00 102.08 90.00
Sites, in units of the cell vectors:
Ga (0.5659, 0.5659, 0.1317)
Ga (0.4341, 0.4341, 0.8683)
Ge (0.8518, 0.3518, 0.7036)
Ge (0.1482, 0.6482, 0.2964)
Pm (0.3158, 0.8158, 0.6316)
Pm (0.0000, 0.0000, 0.0000)
Pm (0.6842, 0.1842, 0.3684)

Formation enthalpy at 0 K: -0.784 eV/atom
Energy: -5.0041 eV per atom
Space-group type: Immm
Magnetization: 0.00 μB/f.u.
Relative energy among the computed polymorphs: 0.0 kJ per mole of atoms

---

[8]
Here is an optimized crystal structure of BaTi2Br from the Alexandria database. Energies are from PBE-GGA.

a b c (Å): 5.0779 5.0779 5.0779
angles (deg): 60.00 60.00 60.00
Each line ends with the local moment (μB).
Sites, in units of the cell vectors:
Ba (0.5000, 0.5000, 0.5000)  0.27
Ti (0.7500, 0.7500, 0.7500)  0.96
Ti (0.2500, 0.2500, 0.2500)  0.96
Br (0.0000, 0.0000, 0.0000)  0.00

Energy: -3.9847 eV per atom
Formation energy (no corrections): 0.86 eV/atom
Space-group type: Fm-3m
Magnetization: 2.99 μB/f.u.
Relative energy among the computed polymorphs: 53.0 kJ per mole of atoms

---

[9]
Here is an optimized crystal structure of TiMnVSi from the Alexandria database. Energies are from PBE-GGA.

a b c (Å): 4.1838 4.1838 4.1838
angles (deg): 60.00 60.00 60.00
Each line ends with the local moment (μB).
Sites, in units of the cell vectors:
Si (0.2500, 0.2500, 0.2500)  -0.02
Ti (0.7500, 0.7500, 0.7500)  0.18
Mn (0.5000, 0.5000, 0.5000)  -0.08
V (0.0000, 0.0000, 0.0000)  1.67

Energy: -8.2665 eV per atom
Formation energy (no corrections): -0.36 eV/atom
Space-group type: F-43m
Magnetization: 2.00 μB/f.u.

---

[10]
Here is an optimized crystal structure of KBa2Be from the Alexandria database. Energies are from PBE-GGA.

a b c (Å): 4.1932 4.1932 10.9256
angles (deg): 90.00 90.00 90.00
Sites, in units of the cell vectors:
Ba (0.0000, 0.0000, 0.0180)
Ba (0.5000, 0.5000, 0.3312)
K (0.5000, 0.5000, 0.6775)
Be (0.0000, 0.0000, 0.4733)

Formation enthalpy at 0 K: 0.466 eV/atom
Energy: -1.7009 eV per atom
Space-group type: P4mm
Magnetization: 0.01 μB/f.u.

---

[11]
Here is an optimized crystal structure of ErLuSc from the Alexandria database. Energies are from PBE-GGA.

a b c (Å): 3.3582 5.3787 5.3787
angles (deg): 120.00 90.00 90.00
Sites, in units of the cell vectors:
Lu (0.1660, 0.0000, 0.0000)
Sc (0.1674, 0.3333, 0.6667)
Er (0.6666, 0.6667, 0.3333)

Formation enthalpy at 0 K: 0.078 eV/atom
Energy: -5.0603 eV per atom
Space-group type: P-6m2
Magnetization: 0.04 μB/f.u.
Relative energy among the computed polymorphs: 3.0 kJ per mole of atoms

---

[12]
Here is an optimized crystal structure of Dy2B5Os from the Alexandria database. Energies are from PBE-GGA.

a b c (Å): 5.2427 5.2427 5.2427
angles (deg): 85.30 122.75 122.75
Sites, in units of the cell vectors:
Dy (0.5000, 0.2378, 0.7378)
Dy (0.5000, 0.7378, 0.2378)
B (0.0000, 0.3169, 0.3169)
B (0.0000, 0.2963, 0.6624)
B (0.6339, 0.2963, 0.2963)
B (0.0000, 0.6624, 0.2963)
B (0.3661, 0.6624, 0.6624)
Os (0.0000, 0.0122, 0.0122)

Formation enthalpy at 0 K: -0.433 eV/atom
Energy: -7.1608 eV per atom
Space-group type: I4mm
Magnetization: 0.00 μB/f.u.